Entry 1:
A plane-wave DFT calculation with PBE-GGA was carried out for a geometry-optimized NaTmPd6O8 structure.

Calculated values
As for the crystal system: cubic. As for the energy: -5.881 eV/atom. The value obtained for the uncorrected formation energy is -1.09 eV/atom.

Unit cell a=5.820 b=5.820 c=5.820 alpha=90.00 beta=90.00 gamma=90.00
Atoms (fractional coordinates):
Na 0.000 0.000 0.000
Tm 0.500 0.500 0.500
Pd 0.000 0.251 0.500
Pd 0.000 0.749 0.500
Pd 0.251 0.500 0.000
Pd 0.500 0.000 0.251
Pd 0.500 0.000 0.749
Pd 0.749 0.500 0.000
O 0.262 0.262 0.262
O 0.262 0.262 0.738
O 0.262 0.738 0.262
O 0.262 0.738 0.738
O 0.738 0.262 0.262
O 0.738 0.262 0.738
O 0.738 0.738 0.262
O 0.738 0.738 0.738

***

Entry 2:
A plane-wave DFT calculation with PBE-GGA was carried out for a geometry-optimized Be4NbRu structure.

Calculated values
Its formation energy is -0.42 eV/atom. As for the crystal system: cubic. As for the energy: -6.125 eV/atom.

Unit cell a=4.459 b=4.459 c=4.459 alpha=60.00 beta=60.00 gamma=60.00
Atoms (fractional coordinates):
Be 0.124 0.124 0.124
Be 0.124 0.124 0.627
Be 0.124 0.627 0.124
Be 0.627 0.124 0.124
Nb 0.750 0.750 0.750
Ru 0.500 0.500 0.500

***

Entry 3:
A plane-wave DFT calculation with PBE-GGA was carried out for a geometry-optimized Th4Tc2Bi structure.

Calculated values
Its formation energy is -0.18 eV/atom. As for the crystal system: trigonal. As for the energy: -7.935 eV/atom. The calculation puts the energy above the most stable polymorph in this dataset at 0.131 eV/atom.

Unit cell a=11.761 b=11.761 c=11.761 alpha=22.32 beta=22.32 gamma=22.32
Atoms (fractional coordinates):
Th 0.109 0.109 0.109
Th 0.298 0.298 0.298
Th 0.702 0.702 0.702
Th 0.891 0.891 0.891
Tc 0.395 0.395 0.395
Tc 0.605 0.605 0.605
Bi 0.500 0.500 0.500

***

Entry 4:
A plane-wave DFT calculation with PBE-GGA was carried out for a geometry-optimized CaAs2Cl structure.

Calculated values
As for the crystal system: orthorhombic. As for the energy: -3.842 eV/atom. The calculation puts the energy above the most stable polymorph in this dataset at 0.446 eV/atom. The value obtained for the uncorrected formation energy is -0.56 eV/atom.

Unit cell a=5.406 b=5.406 c=5.012 alpha=90.00 beta=90.00 gamma=125.44
Atoms (fractional coordinates):
Ca 0.000 0.000 0.000
As 0.000 0.500 0.500
As 0.500 0.000 0.500
Cl 0.500 0.500 0.000

***

Entry 5:
A plane-wave DFT calculation with PBE-GGA was carried out for a geometry-optimized LiMnCd structure.

Calculated values
Its formation energy is 0.16 eV/atom. As for the crystal system: orthorhombic. As for the energy: -3.835 eV/atom. The calculation puts the energy above the most stable polymorph in this dataset at 0.001 eV/atom.

Unit cell a=4.959 b=4.959 c=4.959 alpha=146.82 beta=128.53 gamma=62.62
Atoms (fractional coordinates):
Li 0.000 0.000 0.000
Mn 0.672 0.672 0.000
Cd 0.332 0.332 0.000

***

Entry 6:
A plane-wave DFT calculation with PBE-GGA was carried out for a geometry-optimized Tl2CdInCl5 structure.

Calculated values
As for the crystal system: orthorhombic. As for the energy: -2.915 eV/atom. The value obtained for the uncorrected formation energy is -0.96 eV/atom.

Unit cell a=8.899 b=8.899 c=8.899 alpha=146.47 beta=130.83 gamma=60.83
Atoms (fractional coordinates):
Tl 0.207 0.207 0.000
Tl 0.793 0.793 0.000
Cd 0.000 0.500 0.500
In 0.500 0.000 0.500
Cl 0.000 0.000 0.000
Cl 0.128 0.376 0.751
Cl 0.375 0.624 0.751
Cl 0.625 0.376 0.249
Cl 0.872 0.624 0.249

***

Entry 7:
A plane-wave DFT calculation with PBE-GGA was carried out for a geometry-optimized Li2CaFe structure.

Calculated values
Its formation energy is 0.45 eV/atom. As for the crystal system: orthorhombic. As for the energy: -3.125 eV/atom. The calculation puts the energy above the most stable polymorph in this dataset at 0.096 eV/atom.

Unit cell a=3.527 b=4.770 c=5.032 alpha=90.00 beta=90.00 gamma=90.00
Atoms (fractional coordinates):
Li 0.000 0.000 0.000
Li 0.500 0.500 0.000
Ca 0.000 0.500 0.500
Fe 0.500 0.000 0.500

***

Entry 8:
A plane-wave DFT calculation with PBE-GGA was carried out for a geometry-optimized LiPuClO4 structure.

Calculated values
As for the crystal system: monoclinic. As for the energy: -7.138 eV/atom. The value obtained for the uncorrected formation energy is -1.72 eV/atom.

Unit cell a=6.230 b=6.230 c=7.846 alpha=108.68 beta=108.68 gamma=68.84
Atoms (fractional coordinates):
Li 0.095 0.095 0.273
Li 0.905 0.905 0.727
Pu 0.302 0.302 0.801
Pu 0.698 0.698 0.199
Cl 0.432 0.432 0.184
Cl 0.568 0.568 0.816
O 0.067 0.581 0.815
O 0.113 0.113 0.796
O 0.211 0.211 0.536
O 0.419 0.933 0.185
O 0.581 0.067 0.815
O 0.789 0.789 0.464
O 0.887 0.887 0.204
O 0.933 0.419 0.185

***

Entry 9:
A plane-wave DFT calculation with PBE-GGA was carried out for a geometry-optimized ZnHF structure.

Calculated values
As for the crystal system: trigonal. As for the energy: -3.123 eV/atom. The calculation puts the energy above the most stable polymorph in this dataset at 0.126 eV/atom.

Unit cell a=2.969 b=2.969 c=4.393 alpha=90.00 beta=90.00 gamma=120.00
Atoms (fractional coordinates):
Zn 0.000 0.000 0.000
H 0.333 0.667 0.171
F 0.667 0.333 0.719

***

Entry 10:
A plane-wave DFT calculation with PBE-GGA was carried out for a geometry-optimized K3SiW structure.

Calculated values
As for the crystal system: cubic. As for the energy: -2.688 eV/atom. The calculation puts the energy above the most stable polymorph in this dataset at 0.000 eV/atom. The value obtained for the uncorrected formation energy is 1.65 eV/atom.

Unit cell a=6.397 b=6.397 c=6.397 alpha=90.00 beta=90.00 gamma=90.00
Atoms (fractional coordinates):
K 0.000 0.000 0.500
K 0.000 0.500 0.000
K 0.500 0.000 0.000
Si 0.000 0.000 0.000
W 0.500 0.500 0.500

***

Entry 11:
A plane-wave DFT calculation with PBE-GGA was carried out for a geometry-optimized Ca2YBr structure.

Calculated values
As for the crystal system: cubic. As for the energy: -2.972 eV/atom. The calculation puts the energy above the most stable polymorph in this dataset at 0.704 eV/atom. The value obtained for the uncorrected formation energy is 0.06 eV/atom.

Unit cell a=5.926 b=5.926 c=5.926 alpha=60.00 beta=60.00 gamma=60.00
Atoms (fractional coordinates):
Ca 0.250 0.250 0.250
Ca 0.750 0.750 0.750
Y 0.000 0.000 0.000
Br 0.500 0.500 0.500

***

Entry 12:
A plane-wave DFT calculation with PBE-GGA was carried out for a geometry-optimized LaPr3Er4 structure.

Calculated values
Its formation energy is 0.03 eV/atom. As for the crystal system: orthorhombic. As for the energy: -4.657 eV/atom. The calculation puts the energy above the most stable polymorph in this dataset at 0.000 eV/atom.

Unit cell a=11.628 b=7.345 c=6.317 alpha=90.00 beta=90.00 gamma=90.00
Atoms (fractional coordinates):
La 0.000 0.127 0.000
La 0.500 0.873 0.500
Pr 0.000 0.871 0.501
Pr 0.250 0.130 0.339
Pr 0.250 0.870 0.839
Pr 0.500 0.129 0.001
Pr 0.750 0.130 0.339
Pr 0.750 0.870 0.839
Er 0.000 0.382 0.503
Er 0.000 0.619 0.003
Er 0.250 0.381 0.835
Er 0.250 0.619 0.335
Er 0.500 0.381 0.503
Er 0.500 0.618 0.003
Er 0.750 0.381 0.835
Er 0.750 0.619 0.335